Record 1
A relaxed TaTeCl9 crystal, computed with PBE.

```
data_TaTeCl9
_space_group_name_H-M_alt 'P 1'
_space_group_IT_number 1
_cell_length_a 11.3618
_cell_length_b 11.3618
_cell_length_c 19.6078
_cell_angle_alpha 105.87
_cell_angle_beta 105.87
_cell_angle_gamma 32.57
loop_
_space_group_symop_operation_xyz
'x,y,z'
loop_
_atom_site_label
_atom_site_fract_x
_atom_site_fract_y
_atom_site_fract_z
Cl1 0.2204 0.1404 0.1740
Cl2 0.6387 0.8854 0.6282
Cl3 0.1053 0.0653 0.2947
Cl4 0.9383 0.1105 0.0936
Cl5 0.5122 0.3096 0.9397
Cl6 0.9347 0.8947 0.2053
Cl7 0.5862 0.4980 0.8590
Cl8 0.3412 0.3657 0.2358
Te1 0.2804 0.8813 0.1589
Cl9 0.2214 0.3862 0.5639
Cl10 0.7796 0.8596 0.8260
Cl11 0.6343 0.6588 0.2642
Cl12 0.3613 0.1146 0.3718
Cl13 0.6138 0.7786 0.9361
Cl14 0.6904 0.4878 0.5603
Cl15 0.7786 0.6138 0.4361
Cl16 0.9802 0.7457 0.0272
Cl17 0.0617 0.8895 0.9064
Cl18 0.8895 0.0617 0.4064
Te2 0.7196 0.1187 0.8411
Ta1 0.4411 0.8508 0.3747
Ta2 0.5589 0.1492 0.6253
Cl19 0.3096 0.5122 0.4397
Cl20 0.4878 0.6904 0.0603
Cl21 0.8947 0.9347 0.7053
Cl22 0.4980 0.5862 0.3590
Cl23 0.1146 0.3613 0.8718
Te3 0.1187 0.7196 0.3411
Cl24 0.3862 0.2214 0.0639
Cl25 0.1404 0.2204 0.6740
Cl26 0.0653 0.1053 0.7947
Cl27 0.0198 0.2543 0.9728
Ta3 0.8508 0.4411 0.8747
Cl28 0.1105 0.9383 0.5936
Cl29 0.5020 0.4138 0.6410
Cl30 0.8596 0.7796 0.3260
Cl31 0.2543 0.0198 0.4728
Cl32 0.3657 0.3412 0.7358
Cl33 0.6588 0.6343 0.7642
Cl34 0.7457 0.9802 0.5272
Te4 0.8813 0.2804 0.6589
Cl35 0.8854 0.6387 0.1282
Ta4 0.1492 0.5589 0.1253
Cl36 0.4138 0.5020 0.1410
```

Results
For the uncorrected energy, the calculation gives -3.873 eV per atom. The energy relative to the lowest polymorph listed for this composition is 0.00 kcal/mol of atoms. The density is 3.19 g/cm³.


Record 2
A relaxed TlPt124 crystal, computed with PBE.

```
data_TlPt124
_space_group_name_H-M_alt 'P 1'
_space_group_IT_number 1
_cell_length_a 14.0217
_cell_length_b 14.0217
_cell_length_c 14.0217
_cell_angle_alpha 60.00
_cell_angle_beta 60.00
_cell_angle_gamma 60.00
loop_
_space_group_symop_operation_xyz
'x,y,z'
loop_
_atom_site_label
_atom_site_fract_x
_atom_site_fract_y
_atom_site_fract_z
Pt1 0.5986 0.4014 0.0000
Pt2 0.7997 0.6001 0.0000
Pt3 0.2002 0.5996 0.0000
Pt4 0.7998 0.0000 0.7998
Pt5 0.2002 0.0000 0.5996
Pt6 0.6001 0.7997 0.6002
Pt7 0.4000 0.8000 0.4000
Pt8 0.2000 0.5999 0.8000
Pt9 0.8000 0.4001 0.5999
Pt10 0.0000 0.6002 0.6001
Pt11 0.4001 0.8000 0.2000
Pt12 0.6001 0.6001 0.3999
Pt13 0.3999 0.2003 0.0000
Pt14 0.4000 0.4000 0.4000
Pt15 0.0000 0.5996 0.2002
Pt16 0.0000 0.5986 0.4014
Pt17 0.2000 0.5999 0.4001
Pt18 0.6002 0.0000 0.6001
Pt19 0.4001 0.2000 0.5999
Pt20 0.2000 0.8000 0.4001
Pt21 0.2001 0.7999 0.7999
Pt22 0.8000 0.5999 0.8000
Pt23 0.0000 0.7998 0.7998
Pt24 0.6000 0.2000 0.6000
Pt25 0.4001 0.5999 0.2000
Pt26 0.0000 0.2025 0.0000
Pt27 0.2001 0.7999 0.2001
Pt28 0.0000 0.2002 0.5996
Pt29 0.5996 0.0000 0.2002
Pt30 0.0000 0.4014 0.0000
Pt31 0.5999 0.8000 0.8000
Pt32 0.0000 0.6001 0.7997
Pt33 0.6000 0.6000 0.2000
Pt34 0.3999 0.0000 0.3999
Pt35 0.4004 0.0000 0.7998
Pt36 0.4004 0.7998 0.0000
Pt37 0.5996 0.2002 0.2002
Pt38 0.4014 0.0000 0.0000
Pt39 0.5999 0.4001 0.2000
Pt40 0.8000 0.2000 0.5999
Pt41 0.2000 0.4001 0.2000
Pt42 0.7975 0.2025 0.0000
Pt43 0.2025 0.0000 0.0000
Pt44 0.4014 0.5986 0.0000
Pt45 0.3999 0.6001 0.6001
Pt46 0.4004 0.7998 0.7998
Pt47 0.3999 0.3999 0.0000
Pt48 0.6000 0.6000 0.6000
Pt49 0.0000 0.0000 0.2025
Pt50 0.0000 0.3999 0.2003
Pt51 0.0000 0.0000 0.4014
Pt52 0.6001 0.6001 0.0000
Pt53 0.2003 0.3999 0.0000
Pt54 0.4000 0.4000 0.8000
Pt55 0.5986 0.0000 0.0000
Pt56 0.4001 0.2000 0.8000
Pt57 0.7998 0.0000 0.4004
Pt58 0.7999 0.2001 0.7999
Pt59 0.0000 0.7998 0.4004
Pt60 0.6001 0.3999 0.3999
Pt61 0.5999 0.8000 0.4001
Pt62 0.4001 0.2000 0.2000
Pt63 0.4014 0.0000 0.5986
Pt64 0.3999 0.0000 0.2003
Pt65 0.2002 0.5996 0.2002
Pt66 0.0000 0.7975 0.0000
Pt67 0.0000 0.3999 0.3999
Pt68 0.3999 0.3999 0.2003
Pt69 0.3999 0.6001 0.3999
Pt70 0.6001 0.7997 0.0000
Pt71 0.4001 0.8000 0.5999
Pt72 0.0000 0.7975 0.2025
Tl1 0.0000 0.0000 0.0000
Pt73 0.7998 0.7998 0.0000
Pt74 0.7999 0.7999 0.2001
Pt75 0.7998 0.7998 0.4004
Pt76 0.0000 0.4004 0.7998
Pt77 0.2000 0.6000 0.6000
Pt78 0.2002 0.0000 0.2002
Pt79 0.2003 0.3999 0.3998
Pt80 0.7997 0.6001 0.6002
Pt81 0.0000 0.7997 0.6001
Pt82 0.7998 0.4004 0.0000
Pt83 0.6001 0.6001 0.7997
Pt84 0.5999 0.2000 0.4001
Pt85 0.6001 0.0000 0.7997
Pt86 0.8000 0.4000 0.4000
Pt87 0.6001 0.3999 0.6001
Pt88 0.4001 0.5999 0.8000
Pt89 0.2000 0.4001 0.8000
Pt90 0.5996 0.2002 0.0000
Pt91 0.2002 0.2002 0.0000
Pt92 0.7975 0.0000 0.0000
Pt93 0.8000 0.5999 0.2000
Pt94 0.5999 0.8000 0.2000
Pt95 0.2003 0.0000 0.3999
Pt96 0.5986 0.0000 0.4014
Pt97 0.0000 0.2025 0.7975
Pt98 0.0000 0.0000 0.7975
Pt99 0.2000 0.2000 0.4001
Pt100 0.8000 0.8000 0.8000
Pt101 0.0000 0.2003 0.3999
Pt102 0.8000 0.8000 0.5999
Pt103 0.2000 0.2000 0.2000
Pt104 0.2002 0.2002 0.5996
Pt105 0.5999 0.4001 0.8000
Pt106 0.8000 0.2000 0.4001
Pt107 0.7997 0.0000 0.6001
Pt108 0.0000 0.5986 0.0000
Pt109 0.7998 0.4004 0.7998
Pt110 0.2025 0.7975 0.0000
Pt111 0.5999 0.2000 0.8000
Pt112 0.8000 0.5999 0.4001
Pt113 0.2000 0.8000 0.5999
Pt114 0.0000 0.4014 0.5986
Pt115 0.0000 0.2002 0.2002
Pt116 0.2001 0.2001 0.7999
Pt117 0.3999 0.2003 0.3998
Pt118 0.7999 0.2001 0.2001
Pt119 0.3999 0.3999 0.6001
Pt120 0.8000 0.4001 0.2000
Pt121 0.2025 0.0000 0.7975
Pt122 0.0000 0.0000 0.5986
Pt123 0.2000 0.4001 0.5999
Pt124 0.7975 0.0000 0.2025
```

Results
For the uncorrected energy, the calculation gives -6.025 eV per atom. The density is 20.78 g/cm³.


Record 3
A relaxed SmTlGe crystal, computed with PBE.

```
data_SmTlGe
_space_group_name_H-M_alt 'P 1'
_space_group_IT_number 1
_cell_length_a 4.9884
_cell_length_b 4.9884
_cell_length_c 4.9884
_cell_angle_alpha 60.00
_cell_angle_beta 60.00
_cell_angle_gamma 60.00
loop_
_space_group_symop_operation_xyz
'x,y,z'
loop_
_atom_site_label
_atom_site_fract_x
_atom_site_fract_y
_atom_site_fract_z
Ge1 0.2500 0.2500 0.2500
Tl1 0.0000 0.0000 0.0000
Sm1 0.7500 0.7500 0.7500
```

Results
For the uncorrected energy, the calculation gives -3.898 eV per atom. The energy relative to the lowest polymorph listed for this composition is 2.61 kcal/mol of atoms. The density is 8.09 g/cm³.


Record 4
A relaxed Pr2CuAgSn2 crystal, computed with PBE.

```
data_Pr2CuAgSn2
_space_group_name_H-M_alt 'P 1'
_space_group_IT_number 1
_cell_length_a 4.7315
_cell_length_b 4.7315
_cell_length_c 7.7091
_cell_angle_alpha 90.00
_cell_angle_beta 90.00
_cell_angle_gamma 120.00
loop_
_space_group_symop_operation_xyz
'x,y,z'
loop_
_atom_site_label
_atom_site_fract_x
_atom_site_fract_y
_atom_site_fract_z
Sn1 0.3333 0.6667 0.2288
Pr1 0.6667 0.3333 0.5139
Sn2 0.0000 0.0000 0.7415
Pr2 0.6667 0.3333 0.0062
Cu1 0.3333 0.6667 0.8119
Ag1 0.0000 0.0000 0.3089
```

Results
For the uncorrected energy, the calculation gives -4.611 eV per atom. The density is 7.67 g/cm³.


Record 5
A relaxed Sr2BiAu2 crystal, computed with PBE.

```
data_Sr2BiAu2
_space_group_name_H-M_alt 'P 1'
_space_group_IT_number 1
_cell_length_a 8.1094
_cell_length_b 8.1094
_cell_length_c 3.9409
_cell_angle_alpha 90.00
_cell_angle_beta 90.00
_cell_angle_gamma 145.90
loop_
_space_group_symop_operation_xyz
'x,y,z'
loop_
_atom_site_label
_atom_site_fract_x
_atom_site_fract_y
_atom_site_fract_z
Sr1 0.6271 0.3729 0.5000
Au1 0.7994 0.2006 0.0000
Au2 0.2006 0.7994 0.0000
Bi1 0.0000 0.0000 0.0000
Sr2 0.3729 0.6271 0.5000
```

Results
For the uncorrected energy, the calculation gives -3.590 eV per atom. The density is 8.89 g/cm³.


Record 6
A relaxed KMgFeTc crystal, computed with PBE.

```
data_KMgFeTc
_space_group_name_H-M_alt 'P 1'
_space_group_IT_number 1
_cell_length_a 4.8634
_cell_length_b 4.8634
_cell_length_c 4.8634
_cell_angle_alpha 60.00
_cell_angle_beta 60.00
_cell_angle_gamma 60.00
loop_
_space_group_symop_operation_xyz
'x,y,z'
loop_
_atom_site_label
_atom_site_fract_x
_atom_site_fract_y
_atom_site_fract_z
Mg1 0.7500 0.7500 0.7500
Tc1 0.5000 0.5000 0.5000
K1 0.2500 0.2500 0.2500
Fe1 0.0000 0.0000 0.0000
```

Results
For the uncorrected energy, the calculation gives -3.928 eV per atom. The energy relative to the lowest polymorph listed for this composition is 4.87 kcal/mol of atoms. The density is 4.44 g/cm³.


Record 7
A relaxed InFe3Si5 crystal, computed with PBE.

```
data_InFe3Si5
_space_group_name_H-M_alt 'P 1'
_space_group_IT_number 1
_cell_length_a 4.9535
_cell_length_b 4.9535
_cell_length_c 6.0591
_cell_angle_alpha 90.00
_cell_angle_beta 90.00
_cell_angle_gamma 120.00
loop_
_space_group_symop_operation_xyz
'x,y,z'
loop_
_atom_site_label
_atom_site_fract_x
_atom_site_fract_y
_atom_site_fract_z
Fe1 0.5000 0.5000 0.5000
Si1 0.3333 0.6667 0.1960
Si2 0.0000 0.0000 0.5000
Si3 0.6667 0.3333 0.1960
Fe2 0.5000 0.0000 0.5000
Si4 0.3333 0.6667 0.8040
Si5 0.6667 0.3333 0.8040
In1 0.0000 0.0000 0.0000
Fe3 0.0000 0.5000 0.5000
```

Results
For the uncorrected energy, the calculation gives -6.113 eV per atom. The density is 5.45 g/cm³.


Record 8
A relaxed YTmAl2Ni4 crystal, computed with PBE.

```
data_YTmAl2Ni4
_space_group_name_H-M_alt 'P 1'
_space_group_IT_number 1
_cell_length_a 4.1318
_cell_length_b 4.1318
_cell_length_c 8.8508
_cell_angle_alpha 90.00
_cell_angle_beta 90.00
_cell_angle_gamma 120.00
loop_
_space_group_symop_operation_xyz
'x,y,z'
loop_
_atom_site_label
_atom_site_fract_x
_atom_site_fract_y
_atom_site_fract_z
Y1 0.3333 0.6667 0.5000
Tm1 0.0000 0.0000 0.0000
Ni1 0.0000 0.0000 0.6910
Ni2 0.0000 0.0000 0.3090
Al1 0.6667 0.3333 0.2464
Ni3 0.3333 0.6667 0.8194
Ni4 0.3333 0.6667 0.1806
Al2 0.6667 0.3333 0.7536
```

Results
For the uncorrected energy, the calculation gives -5.685 eV per atom. The density is 6.94 g/cm³.